No. 1
Here is an optimized crystal structure of Nd3In2Au2 from Alexandria via LeMat-Bulk. Energies are from PBE.

Summary:
N(E_F): 13.81 states/eV/cell
E_tot: -61.71 eV/cell
Formation enthalpy at 0 K: -436 kJ/mol of formula units

abc: 4.5695 22.3723 3.6542
angles: 90.00 90.00 90.00
Closest atoms and distances in Å follow each position.
Space group Cmmm (No. 65)
Symmetry-distinct sites (fractional):
Nd  0.0000  0.0000  0.0000 [2 per cell]  8 In 3.42, 4 Nd 3.65-3.70
Nd  0.0000  0.1653  0.0000 [4 per cell]  6 Au 3.11-3.30
In  0.0000  0.4210  0.5000 [4 per cell]  1 Au 2.98
Au  0.0000  0.2879  0.5000 [4 per cell]  2 Au 2.84, 1 In 2.98, 4 Nd 3.11

No. 2
Here is an optimized crystal structure of ReSbAu2Br from Alexandria via LeMat-Bulk. Energies are from PBE.

Summary:
Formation energy (no corrections): 0.8815 eV per atom
N(E_F): 4.60 states/eV/cell
E_tot: -20.39 eV/cell

abc: 5.1318 5.1318 5.1134
angles: 90.00 90.00 90.00
Closest atoms and distances in Å follow each position.
Space group P4/mmm (No. 123)
Symmetry-distinct sites (fractional):
Re  0.0000  0.0000  0.0000 [1 per cell]  2 Sb 2.56, 4 Au 2.57
Sb  0.0000  0.0000  0.5000 [1 per cell]  2 Re 2.56
Au  0.0000  0.5000  0.0000 [2 per cell]  2 Re 2.57
Br  0.5000  0.5000  0.5000 [1 per cell]  8 Au 3.62, 4 Sb 3.63

No. 3
Here is an optimized crystal structure of MgSc2Br from Alexandria via LeMat-Bulk. Energies are from PBE.

Summary:
Polymorph energy (0 for the lowest one): 0.3215 eV/atom
Formation energy (no corrections): -0.0845 eV per atom
N(E_F): 22.25 states/eV/cell
E_tot: -65.07 eV/cell

abc: 7.9292 7.9292 6.2787
angles: 90.00 90.00 90.00
Closest atoms and distances in Å follow each position.
Space group I-42d (No. 122)
Symmetry-distinct sites (fractional):
Mg  0.0000  0.0000  0.0000 [4 per cell]  2 Br 3.14, 8 Sc 3.15-3.49
Sc  0.2083  0.2500  0.6250 [8 per cell]  2 Br 2.70
Br  0.0000  0.0000  0.5000 [4 per cell]  4 Sc 2.70